Material: TaMnTeO6
Method: DFT, GGA+U
State: relaxed

Summary:
E   -136.25 eV/cell
Calculated volume   12.94 A^3/atom

a = 5.3651 Å, b = 5.3651 Å, c = 9.3474 Å
α = 90.00°, β = 90.00°, γ = 120.00°
Space group P-31c (No. 163)
Symmetry-distinct sites (fractional):
Ta  0.3333  0.6667  0.2500
Mn  0.0000  0.0000  0.0000
Te  0.3333  0.6667  0.7500
O  0.0076  0.3585  0.1342